# Tc2PbW

An optimized crystal structure of Tc2PbW (PBE, Alexandria via LeMat-Bulk).

Summary:
magnetic moment = 0.00 Bohr magnetons per cell
formation enthalpy at 0 K = 627 meV/atom

a b c (Å): 9.6369 9.6369 9.6369
angles (deg): 17.49 17.49 17.49
With the nearest neighbours (Å) after each atom.
Atoms (fractional coordinates):
Tc: 0.0000 0.0000 0.0000  9 Tc 2.63-2.93, 3 W 2.80
Tc: 0.2625 0.2625 0.2625  9 Tc 2.63-2.93
Pb: 0.5046 0.5046 0.5046  6 Pb 2.93, 3 Tc 3.10, 3 W 3.14
W: 0.7449 0.7449 0.7449  3 Tc 2.80, 6 W 2.93